Density functional theory data (GGA+U) for a geometry-optimized GaCoNO structure.

Cell: 4.1820 4.1820 4.3772 Å, 90.00 90.00 90.00°
Element x y z (fractional)
Ga1 0.2500 0.7500 0.0000
Ga2 0.7500 0.2500 0.0000
Co1 0.2500 0.2500 0.4994
Co2 0.7500 0.7500 0.5006
N1 0.2500 0.2500 0.9993
N2 0.7500 0.7500 0.0007
O1 0.2500 0.7500 0.5000
O2 0.7500 0.2500 0.5000

Values from the calculation:
The total moment comes out at 2.82 μB/f.u. The relative energy among the computed polymorphs comes out at 1.057 eV/f.u. The electronic total energy is -5.78 eV/atom. As for the symmetry: P4/nmm.